(1)
Entry from the Alexandria database: a geometry-optimized CaEr2Cu9 structure (PBE).

Computed properties:
D(E_F)	0.5895	states/eV/atom
energy of formation	-17.3	kJ per mole of atoms
V	15.94	Å³/atom

abc: 5.159 5.159 8.814
angles: 72.98 72.98 60.00
Fractional coordinates of all 12 atoms:
Cu: 0.082 0.583 0.751
Er: 0.141 0.141 0.577
Cu: 0.417 0.417 0.249
Cu: 0.500 0.500 0.500
Cu: 0.417 0.918 0.249
Cu: 0.583 0.082 0.751
Er: 0.859 0.859 0.423
Ca: 0.000 0.000 0.000
Cu: 0.918 0.417 0.249
Cu: 0.333 0.333 0.002
Cu: 0.583 0.583 0.751
Cu: 0.667 0.667 0.998

---

(2)
Entry from the Alexandria database: a geometry-optimized Tm3PS2 structure (PBE).

Computed properties:
D(E_F)	0.3277	states/eV/atom
formation energy without anion corrections	-1.89	eV per atom
V	20.65	Å³/atom

abc: 3.875 5.470 6.738
angles: 113.95 106.71 90.00
Fractional coordinates of all 6 atoms:
Tm: 0.500 0.000 0.500
S: 0.832 0.832 0.164
Tm: 0.838 0.338 0.177
P: 0.500 0.500 0.500
S: 0.168 0.168 0.836
Tm: 0.162 0.662 0.823